Record 1
Density functional theory data (PBE-GGA) for a relaxed LiYLuBe crystal.

Calculated values
Magnetization = 0.000 μB/f.u.
VASP energy = -4.037 eV/atom

Structure (CIF):
```
data_LiYLuBe
_chemical_formula_sum 'Li1 Y1 Lu1 Be1'
_symmetry_space_group_name_H-M 'P 1'
_symmetry_Int_Tables_number 1
_symmetry_space_group_name_Hall 'P 1'
_cell_length_a 4.943
_cell_length_b 4.943
_cell_length_c 4.943
_cell_angle_alpha 60.00
_cell_angle_beta 60.00
_cell_angle_gamma 60.00
loop_
_atom_site_label
_atom_site_type_symbol
_atom_site_fract_x
_atom_site_fract_y
_atom_site_fract_z
_atom_site_occupancy
Be1 Be 0.500 0.500 0.500 1
Lu1 Lu 0.250 0.250 0.250 1
Li1 Li 0.000 0.000 0.000 1
Y1 Y 0.750 0.750 0.750 1
```

Record 2
Density functional theory data (PBE-GGA) for a relaxed Tb4Al5Ge2 crystal.

Calculated values
Magnetization = 0.000 μB/f.u.
VASP energy = -4.738 eV/atom

Structure (CIF):
```
data_Tb4Al5Ge2
_chemical_formula_sum 'Tb4 Al5 Ge2'
_symmetry_space_group_name_H-M 'P 1'
_symmetry_Int_Tables_number 1
_symmetry_space_group_name_Hall 'P 1'
_cell_length_a 4.376
_cell_length_b 6.932
_cell_length_c 8.109
_cell_angle_alpha 93.23
_cell_angle_beta 90.00
_cell_angle_gamma 90.00
loop_
_atom_site_label
_atom_site_type_symbol
_atom_site_fract_x
_atom_site_fract_y
_atom_site_fract_z
_atom_site_occupancy
Tb1 Tb 0.500 0.759 0.596 1
Tb2 Tb 0.500 0.216 0.867 1
Tb3 Tb 0.500 0.241 0.404 1
Tb4 Tb 0.500 0.784 0.133 1
Ge1 Ge 0.000 0.914 0.363 1
Ge2 Ge 0.000 0.086 0.637 1
Al1 Al 0.000 0.500 0.000 1
Al2 Al 0.000 0.140 0.126 1
Al3 Al 0.000 0.860 0.874 1
Al4 Al 0.000 0.458 0.664 1
Al5 Al 0.000 0.542 0.336 1
```

Record 3
Density functional theory data (PBE-GGA) for a relaxed Pu3Cu5Se12 crystal.

Calculated values
Magnetization = 12.044 μB/f.u.
VASP energy = -5.814 eV/atom
Formation energy from raw total energies = -0.55 eV/atom

Structure (CIF):
```
data_Pu3Cu5Se12
_chemical_formula_sum 'Pu12 Cu20 Se48'
_symmetry_space_group_name_H-M 'P 1'
_symmetry_Int_Tables_number 1
_symmetry_space_group_name_Hall 'P 1'
_cell_length_a 13.345
_cell_length_b 13.345
_cell_length_c 13.345
_cell_angle_alpha 109.47
_cell_angle_beta 109.47
_cell_angle_gamma 109.47
loop_
_atom_site_label
_atom_site_type_symbol
_atom_site_fract_x
_atom_site_fract_y
_atom_site_fract_z
_atom_site_occupancy
Cu1 Cu 0.500 0.000 0.000 1
Cu2 Cu 0.500 0.500 0.000 1
Cu3 Cu 0.250 0.875 0.125 1
Cu4 Cu 0.375 0.125 0.750 1
Cu5 Cu 0.000 0.000 0.000 1
Cu6 Cu 0.125 0.750 0.375 1
Cu7 Cu 0.375 0.250 0.125 1
Cu8 Cu 0.625 0.875 0.250 1
Cu9 Cu 0.250 0.375 0.625 1
Cu10 Cu 0.125 0.375 0.250 1
Cu11 Cu 0.875 0.625 0.750 1
Cu12 Cu 0.875 0.250 0.625 1
Cu13 Cu 0.500 0.000 0.500 1
Cu14 Cu 0.000 0.000 0.500 1
Cu15 Cu 0.500 0.500 0.500 1
Cu16 Cu 0.000 0.500 0.000 1
Cu17 Cu 0.750 0.625 0.375 1
Cu18 Cu 0.750 0.125 0.875 1
Cu19 Cu 0.000 0.500 0.500 1
Cu20 Cu 0.625 0.750 0.875 1
Pu1 Pu 0.375 0.625 0.250 1
Pu2 Pu 0.875 0.750 0.125 1
Pu3 Pu 0.625 0.250 0.375 1
Pu4 Pu 0.750 0.375 0.125 1
Pu5 Pu 0.250 0.625 0.875 1
Pu6 Pu 0.375 0.750 0.625 1
Pu7 Pu 0.875 0.125 0.250 1
Pu8 Pu 0.750 0.875 0.625 1
Pu9 Pu 0.625 0.375 0.750 1
Pu10 Pu 0.250 0.125 0.375 1
Pu11 Pu 0.125 0.875 0.750 1
Pu12 Pu 0.125 0.250 0.875 1
Se1 Se 0.825 0.913 0.289 1
Se2 Se 0.211 0.536 0.624 1
Se3 Se 0.036 0.412 0.825 1
Se4 Se 0.913 0.825 0.789 1
Se5 Se 0.825 0.912 0.036 1
Se6 Se 0.912 0.825 0.536 1
Se7 Se 0.588 0.624 0.413 1
Se8 Se 0.325 0.789 0.413 1
Se9 Se 0.789 0.464 0.376 1
Se10 Se 0.711 0.587 0.175 1
Se11 Se 0.175 0.087 0.711 1
Se12 Se 0.124 0.711 0.536 1
Se13 Se 0.175 0.088 0.964 1
Se14 Se 0.912 0.087 0.876 1
Se15 Se 0.413 0.289 0.325 1
Se16 Se 0.088 0.913 0.124 1
Se17 Se 0.536 0.211 0.124 1
Se18 Se 0.412 0.376 0.587 1
Se19 Se 0.325 0.536 0.412 1
Se20 Se 0.876 0.289 0.464 1
Se21 Se 0.376 0.412 0.087 1
Se22 Se 0.789 0.325 0.913 1
Se23 Se 0.587 0.711 0.675 1
Se24 Se 0.087 0.175 0.211 1
Se25 Se 0.876 0.587 0.912 1
Se26 Se 0.289 0.876 0.964 1
Se27 Se 0.964 0.376 0.289 1
Se28 Se 0.624 0.588 0.913 1
Se29 Se 0.913 0.088 0.624 1
Se30 Se 0.211 0.675 0.087 1
Se31 Se 0.413 0.124 0.588 1
Se32 Se 0.711 0.124 0.036 1
Se33 Se 0.675 0.211 0.587 1
Se34 Se 0.036 0.624 0.711 1
Se35 Se 0.087 0.912 0.376 1
Se36 Se 0.587 0.876 0.412 1
Se37 Se 0.376 0.964 0.789 1
Se38 Se 0.675 0.464 0.588 1
Se39 Se 0.412 0.036 0.325 1
Se40 Se 0.536 0.325 0.912 1
Se41 Se 0.124 0.413 0.088 1
Se42 Se 0.088 0.175 0.464 1
Se43 Se 0.624 0.036 0.211 1
Se44 Se 0.464 0.789 0.876 1
Se45 Se 0.464 0.675 0.088 1
Se46 Se 0.964 0.588 0.175 1
Se47 Se 0.289 0.413 0.825 1
Se48 Se 0.588 0.964 0.675 1
```

Record 4
Density functional theory data (PBE-GGA) for a relaxed PmHoCoPd crystal.

Calculated values
Magnetization = 0.253 μB/f.u.
VASP energy = -5.828 eV/atom

Structure (CIF):
```
data_PmHoCoPd
_chemical_formula_sum 'Pm1 Ho1 Co1 Pd1'
_symmetry_space_group_name_H-M 'P 1'
_symmetry_Int_Tables_number 1
_symmetry_space_group_name_Hall 'P 1'
_cell_length_a 4.907
_cell_length_b 4.907
_cell_length_c 4.907
_cell_angle_alpha 60.00
_cell_angle_beta 60.00
_cell_angle_gamma 60.00
loop_
_atom_site_label
_atom_site_type_symbol
_atom_site_fract_x
_atom_site_fract_y
_atom_site_fract_z
_atom_site_occupancy
Co1 Co 0.500 0.500 0.500 1
Ho1 Ho 0.250 0.250 0.250 1
Pm1 Pm 0.750 0.750 0.750 1
Pd1 Pd 0.000 0.000 0.000 1
```